No. 1
# Pu2PaIn (PBE-GGA, optimized geometry)
# * energy relative to the elements: 0.11 eV/atom
# * distance to the lowest polymorph of the same formula: 103 meV per atom
data_Pu2PaIn
_chemical_formula_sum 'Pu8 Pa4 In4'
_symmetry_space_group_name_H-M 'F m -3 m'
_symmetry_Int_Tables_number 225
_symmetry_space_group_name_Hall '-F 4 2 3'
_cell_length_a 7.3552
_cell_length_b 7.3552
_cell_length_c 7.3552
_cell_angle_alpha 90.00
_cell_angle_beta 90.00
_cell_angle_gamma 90.00
loop_
_atom_site_label
_atom_site_type_symbol
_atom_site_fract_x
_atom_site_fract_y
_atom_site_fract_z
Pu1 Pu 0.2500 0.2500 0.2500
Pa1 Pa 0.0000 0.0000 0.0000
In1 In 0.0000 0.0000 0.5000

=====

No. 2
# LiIrOs (PBE-GGA, optimized geometry)
# * energy relative to the elements: 0.10 eV/atom
# * distance to the lowest polymorph of the same formula: 122 meV per atom
data_LiIrOs
_chemical_formula_sum 'Li4 Ir4 Os4'
_symmetry_space_group_name_H-M 'I m m m'
_symmetry_Int_Tables_number 71
_symmetry_space_group_name_Hall '-I 2 2'
_cell_length_a 4.2046
_cell_length_b 5.0619
_cell_length_c 7.3934
_cell_angle_alpha 90.00
_cell_angle_beta 90.00
_cell_angle_gamma 90.00
loop_
_atom_site_label
_atom_site_type_symbol
_atom_site_fract_x
_atom_site_fract_y
_atom_site_fract_z
Li1 Li 0.0000 0.0000 0.1567
Ir1 Ir 0.0000 0.5000 0.1733
Os1 Os 0.0000 0.2528 0.5000